## HfTl2Cl2O2 (GGA-PBE)

Data for a geometry-optimized HfTl2Cl2O2 structure.

For the calculated density, the calculation gives 7.28 Mg/m³. For the uncorrected formation energy, the calculation gives -176.3 kJ per mole of atoms. The value obtained for the spin magnetization is 0.0 μB per formula unit.

It has space group I4/mmm (No. 139), with a = 4.2700 Å, b = 4.2700 Å, c = 17.2728 Å, α = 90.00°, β = 90.00° and γ = 90.00°. Symmetry generates all atoms from Hf at (0.0000, 0.0000, 0.0000), Tl at (0.0000, 0.0000, 0.3797), Cl at (0.0000, 0.0000, 0.1497) and O at (0.0000, 0.5000, 0.0000).